Entry 1:
## AgHgNF (PBE-GGA)

Data for a relaxed AgHgNF crystal.

Structure (POSCAR):
```
AgHgNF
1.0
4.5440 0.0000 0.0000
0.0000 1.9917 3.4383
0.0000 -1.9917 3.4383
Ag Hg N F
1 1 1 1
Direct
0.0000 0.0000 0.0000
0.5000 0.3340 0.3340
0.5000 0.0000 0.0000
0.0000 0.6653 0.6653
```

For the relative energy among the computed polymorphs, the calculation gives 54 meV/atom. As for the space-group type: Amm2 (38). Its density of states at the Fermi level is 2.49 states/eV/f.u. The calculated volume comes out at 15.559 Å³/atom. The uncorrected formation energy is 0.219 eV per atom.

---

Entry 2:
## AgHgNF (PBE-GGA)

Data for a relaxed AgHgNF crystal.

Structure (POSCAR):
```
AgHgNF
1.0
3.3506 0.0000 0.0000
-0.0145 4.0252 0.0000
-1.6659 -1.9304 5.7231
Ag Hg N F
1 1 1 1
Direct
0.0000 0.0000 0.0000
0.3205 0.3250 0.6405
0.3825 0.8842 0.7647
0.6338 0.1357 0.2678
```

For the relative energy among the computed polymorphs, the calculation gives 0 meV/atom. As for the space-group type: P1 (1). Its density of states at the Fermi level is 1.74 states/eV/f.u. The calculated volume comes out at 19.296 Å³/atom. The uncorrected formation energy is 0.165 eV per atom.

---

Entry 3:
## AgHgNF2 (PBE-GGA)

Data for a relaxed AgHgNF2 crystal.

Structure (POSCAR):
```
AgHgNF2
1.0
4.4415 0.0000 0.0000
0.0000 4.4415 0.0000
0.0000 0.0000 4.1281
Ag Hg N F
1 1 1 2
Direct
0.0000 0.0000 0.0000
0.5000 0.5000 0.5000
0.0000 0.0000 0.5000
0.0000 0.5000 0.0000
0.5000 0.0000 0.0000
```

For the relative energy among the computed polymorphs, the calculation gives 0 meV/atom. As for the space-group type: P4/mmm (123). Its density of states at the Fermi level is 2.01 states/eV/f.u. The calculated volume comes out at 16.287 Å³/atom. The uncorrected formation energy is 0.143 eV per atom.

---

Entry 4:
## AgHgNF (PBE-GGA)

Data for a relaxed AgHgNF crystal.

Structure (POSCAR):
```
AgHgNF
1.0
3.2094 0.0000 0.0000
0.0000 3.2094 0.0000
0.0000 0.0000 6.2276
Ag Hg N F
1 1 1 1
Direct
0.0000 0.0000 0.0000
0.5000 0.5000 0.5768
0.0000 0.0000 0.6468
0.5000 0.5000 0.1768
```

For the relative energy among the computed polymorphs, the calculation gives 92 meV/atom. As for the space-group type: P4mm (99). Its density of states at the Fermi level is 1.36 states/eV/f.u. The calculated volume comes out at 16.036 Å³/atom. The uncorrected formation energy is 0.257 eV per atom.

---

Entry 5:
## Na2Ag3HgF6 (PBE-GGA)

Data for a relaxed Na2Ag3HgF6 crystal.

Structure (POSCAR):
```
Na2Ag3HgF6
1.0
7.5214 -1.6824 0.0000
7.5214 1.6824 0.0000
-0.6211 0.0000 7.0534
Na Ag Hg F
2 3 1 6
Direct
0.1791 0.1791 0.3518
0.8209 0.8209 0.6482
0.1488 0.1488 0.8629
0.5000 0.5000 0.5000
0.8512 0.8512 0.1371
0.5000 0.5000 0.0000
0.0258 0.0258 0.2768
0.3126 0.3126 0.8751
0.3318 0.3318 0.4077
0.6682 0.6682 0.5923
0.6874 0.6874 0.1249
0.9742 0.9742 0.7232
```

As for the space-group type: C2/m (12). Its density of states at the Fermi level is 1.62 states/eV/f.u. The calculated volume comes out at 14.876 Å³/atom. The uncorrected formation energy is -1.552 eV per atom.

---

Entry 6:
## Na2AgHgF6 (PBE-GGA)

Data for a relaxed Na2AgHgF6 crystal.

Structure (POSCAR):
```
Na2AgHgF6
1.0
5.8074 0.0000 0.0000
2.7387 5.1905 0.0000
0.0244 3.3037 5.2491
Na Ag Hg F
2 1 1 6
Direct
0.0000 0.0000 0.0000
0.4964 0.0007 0.5111
0.2976 0.4083 0.8967
0.7913 0.4248 0.3815
0.1013 0.2265 0.1685
0.2064 0.2340 0.6960
0.3861 0.5210 0.1579
0.5675 0.5190 0.6981
0.7172 0.8769 0.2157
0.8790 0.9658 0.6572
```

As for the space-group type: P1 (1). The calculated volume comes out at 15.822 Å³/atom. The uncorrected formation energy is -1.867 eV per atom.